[1]
# YCdGeAs2 (PBE, relaxed)
# **ΔH_f (0 K)**: 572 meV/atom
# **E**: -3.69 eV/atom
data_YCdGeAs2
_chemical_formula_sum 'Y1 Cd1 Ge1 As2'
_cell_length_a 5.366
_cell_length_b 5.366
_cell_length_c 5.720
_cell_angle_alpha 90.00
_cell_angle_beta 90.00
_cell_angle_gamma 90.00
_space_group_name_H-M_alt 'P 1'
_space_group_IT_number 1
loop_
_space_group_symop_operation_xyz
'x,y,z'
loop_
_atom_site_label
_atom_site_type_symbol
_atom_site_fract_x
_atom_site_fract_y
_atom_site_fract_z
Y1 Y 0.000 0.000 0.000
Cd1 Cd 0.000 0.000 0.500
Ge1 Ge 0.500 0.500 0.500
As1 As 0.000 0.500 0.000
As2 As 0.500 0.000 0.000


[2]
# CeDy5Th (PBE, relaxed)
# **ΔH_f (0 K)**: 222 meV/atom
# **E**: -4.97 eV/atom
data_CeDy5Th
_chemical_formula_sum 'Ce2 Dy10 Th2'
_cell_length_a 9.250
_cell_length_b 9.250
_cell_length_c 8.706
_cell_angle_alpha 94.32
_cell_angle_beta 94.32
_cell_angle_gamma 141.57
_space_group_name_H-M_alt 'P 1'
_space_group_IT_number 1
loop_
_space_group_symop_operation_xyz
'x,y,z'
loop_
_atom_site_label
_atom_site_type_symbol
_atom_site_fract_x
_atom_site_fract_y
_atom_site_fract_z
Ce1 Ce 0.010 0.990 0.750
Ce2 Ce 0.990 0.010 0.250
Dy1 Dy 0.042 0.732 0.041
Dy2 Dy 0.112 0.482 0.353
Dy3 Dy 0.268 0.958 0.459
Dy4 Dy 0.353 0.647 0.750
Dy5 Dy 0.482 0.112 0.853
Dy6 Dy 0.518 0.888 0.147
Dy7 Dy 0.647 0.353 0.250
Dy8 Dy 0.732 0.042 0.541
Dy9 Dy 0.888 0.518 0.647
Dy10 Dy 0.958 0.268 0.959
Th1 Th 0.500 0.500 0.000
Th2 Th 0.500 0.500 0.500


- Which formula does entry 1 have?
  YCdGeAs2


- What is the ΔH_f (0 K) in the first record?
  572 meV/atom